First-principles (GGA-PBE) data for a geometry-optimized KSr2Cd2Sn2 structure, as listed in Alexandria via LeMat-Bulk.

POSCAR file:
```
KSr2Cd2Sn2
1.0
5.154 0.000 0.000
2.577 4.463 0.000
2.577 1.488 10.695
Cd Sr Sn K
2 2 2 1
Direct
0.414 0.414 0.757
0.586 0.586 0.243
0.131 0.131 0.607
0.869 0.869 0.393
0.250 0.250 0.250
0.750 0.750 0.750
0.000 0.000 0.000
```

Results
For the total moment, the calculation gives 0.00 μB per atom. For the total energy, the calculation gives -2.384 eV/atom. Its density of states at the Fermi level is 1.9 states/eV per cell. As for the mass density: 4.57 g cm⁻³.